# Al2InIr, single point on PBEsol structure, DFT meta-GGA SCAN
data_Al2InIr
_chemical_formula_sum 'Al4 In2 Ir2'
_cell_length_a 8.8761
_cell_length_b 3.0487
_cell_length_c 4.9208
_cell_angle_alpha 90.00
_cell_angle_beta 98.22
_cell_angle_gamma 90.00
_symmetry_space_group_name_H-M 'C 1 m 1'
_symmetry_Int_Tables_number 8
_symmetry_space_group_name_Hall 'C -2y'
loop_
_atom_site_label
_atom_site_fract_x
_atom_site_fract_y
_atom_site_fract_z
Al1 0.0000 0.0000 0.0000
Al2 0.2459 0.0000 0.7552
In1 0.4828 0.0000 0.4759
Ir1 0.2322 0.5000 0.1666
# Formation energy from the elements = -1.2 eV/f.u.
# Magnetization = 0.000 μB/f.u.

=====

# AlIn2Ir, single point on PBEsol structure, DFT meta-GGA SCAN
data_AlIn2Ir
_chemical_formula_sum 'Al3 In6 Ir3'
_cell_length_a 3.1259
_cell_length_b 3.1259
_cell_length_c 26.7561
_cell_angle_alpha 90.00
_cell_angle_beta 90.00
_cell_angle_gamma 120.00
_symmetry_space_group_name_H-M 'R 3 m'
_symmetry_Int_Tables_number 160
_symmetry_space_group_name_Hall 'R 3 -2"'
loop_
_atom_site_label
_atom_site_fract_x
_atom_site_fract_y
_atom_site_fract_z
Al1 0.0000 0.0000 0.0000
In1 0.0000 0.0000 0.5231
In2 0.0000 0.0000 0.7568
Ir1 0.0000 0.0000 0.2693
# Formation energy from the elements = -0.3 eV/f.u.
# Magnetization = 0.000 μB/f.u.

=====

# Al2InIr, single point on PBEsol structure, DFT meta-GGA SCAN
data_Al2InIr
_chemical_formula_sum 'Al4 In2 Ir2'
_cell_length_a 3.9931
_cell_length_b 3.9931
_cell_length_c 7.9510
_cell_angle_alpha 90.00
_cell_angle_beta 90.00
_cell_angle_gamma 90.00
_symmetry_space_group_name_H-M 'I -4 m 2'
_symmetry_Int_Tables_number 119
_symmetry_space_group_name_Hall 'I -4 -2'
loop_
_atom_site_label
_atom_site_fract_x
_atom_site_fract_y
_atom_site_fract_z
Al1 0.0000 0.0000 0.0000
Al2 0.0000 0.5000 0.2500
In1 0.0000 0.0000 0.5000
Ir1 0.0000 0.5000 0.7500
# Formation energy from the elements = -1.0 eV/f.u.
# Magnetization = 0.000 μB/f.u.

=====

# AlInIr3, single point on PBEsol structure, DFT meta-GGA SCAN
data_AlInIr3
_chemical_formula_sum 'Al1 In1 Ir3'
_cell_length_a 4.7475
_cell_length_b 4.7475
_cell_length_c 4.7475
_cell_angle_alpha 90.00
_cell_angle_beta 90.00
_cell_angle_gamma 90.00
_symmetry_space_group_name_H-M 'P m -3 m'
_symmetry_Int_Tables_number 221
_symmetry_space_group_name_Hall '-P 4 2 3'
loop_
_atom_site_label
_atom_site_fract_x
_atom_site_fract_y
_atom_site_fract_z
Al1 0.0000 0.0000 0.0000
In1 0.5000 0.5000 0.5000
Ir1 0.0000 0.5000 0.5000
# Formation energy from the elements = 10.4 eV/f.u.
# Magnetization = 1.064 μB/f.u.

=====

# Al2InIr, single point on PBEsol structure, DFT meta-GGA SCAN
data_Al2InIr
_chemical_formula_sum 'Al8 In4 Ir4'
_cell_length_a 6.3715
_cell_length_b 6.3715
_cell_length_c 6.3715
_cell_angle_alpha 90.00
_cell_angle_beta 90.00
_cell_angle_gamma 90.00
_symmetry_space_group_name_H-M 'F -4 3 m'
_symmetry_Int_Tables_number 216
_symmetry_space_group_name_Hall 'F -4 2 3'
loop_
_atom_site_label
_atom_site_fract_x
_atom_site_fract_y
_atom_site_fract_z
Al1 0.0000 0.0000 0.0000
Al2 0.2500 0.2500 0.2500
In1 0.2500 0.2500 0.7500
Ir1 0.0000 0.0000 0.5000
# Formation energy from the elements = -0.4 eV/f.u.
# Magnetization = 0.000 μB/f.u.

=====

# Al2InIr, single point on PBEsol structure, DFT meta-GGA SCAN
data_Al2InIr
_chemical_formula_sum 'Al8 In4 Ir4'
_cell_length_a 7.8554
_cell_length_b 7.8554
_cell_length_c 5.1882
_cell_angle_alpha 90.00
_cell_angle_beta 90.00
_cell_angle_gamma 90.00
_symmetry_space_group_name_H-M 'I -4 2 d'
_symmetry_Int_Tables_number 122
_symmetry_space_group_name_Hall 'I -4 2bw'
loop_
_atom_site_label
_atom_site_fract_x
_atom_site_fract_y
_atom_site_fract_z
Al1 0.1667 0.7500 0.1250
In1 0.0000 0.0000 0.5000
Ir1 0.0000 0.0000 0.0000
# Formation energy from the elements = -0.4 eV/f.u.
# Magnetization = 0.000 μB/f.u.

=====

# AlIn2Ir, single point on PBEsol structure, DFT meta-GGA SCAN
data_AlIn2Ir
_chemical_formula_sum 'Al1 In2 Ir1'
_cell_length_a 3.0185
_cell_length_b 3.0185
_cell_length_c 8.2389
_cell_angle_alpha 90.00
_cell_angle_beta 90.00
_cell_angle_gamma 90.00
_symmetry_space_group_name_H-M 'P 4/m m m'
_symmetry_Int_Tables_number 123
_symmetry_space_group_name_Hall '-P 4 2'
loop_
_atom_site_label
_atom_site_fract_x
_atom_site_fract_y
_atom_site_fract_z
Al1 0.0000 0.0000 0.0000
In1 0.5000 0.5000 0.2812
Ir1 0.0000 0.0000 0.5000
# Formation energy from the elements = 0.3 eV/f.u.
# Magnetization = 0.000 μB/f.u.

=====

# Al2InIrPd, single point on PBEsol structure, DFT meta-GGA SCAN
data_Al2InIrPd
_chemical_formula_sum 'Al2 In1 Ir1 Pd1'
_cell_length_a 4.5949
_cell_length_b 4.5949
_cell_length_c 5.1173
_cell_angle_alpha 90.00
_cell_angle_beta 90.00
_cell_angle_gamma 90.00
_symmetry_space_group_name_H-M 'P 4/m m m'
_symmetry_Int_Tables_number 123
_symmetry_space_group_name_Hall '-P 4 2'
loop_
_atom_site_label
_atom_site_fract_x
_atom_site_fract_y
_atom_site_fract_z
Al1 0.0000 0.5000 0.0000
In1 0.0000 0.0000 0.5000
Ir1 0.5000 0.5000 0.0000
Pd1 0.5000 0.5000 0.5000
# Formation energy from the elements = 0.6 eV/f.u.
# Magnetization = 0.010 μB/f.u.

=====

# KAl2In2, single point on PBEsol structure, DFT meta-GGA SCAN
data_KAl2In2
_chemical_formula_sum 'K2 Al4 In4'
_cell_length_a 4.5017
_cell_length_b 4.5017
_cell_length_c 12.4034
_cell_angle_alpha 90.00
_cell_angle_beta 90.00
_cell_angle_gamma 90.00
_symmetry_space_group_name_H-M 'I 4/m m m'
_symmetry_Int_Tables_number 139
_symmetry_space_group_name_Hall '-I 4 2'
loop_
_atom_site_label
_atom_site_fract_x
_atom_site_fract_y
_atom_site_fract_z
K1 0.0000 0.0000 0.0000
Al1 0.0000 0.5000 0.2500
In1 0.0000 0.0000 0.3848
# Formation energy from the elements = -0.5 eV/f.u.
# Magnetization = 0.000 μB/f.u.

=====

# KAlIn2P, single point on PBEsol structure, DFT meta-GGA SCAN
data_KAlIn2P
_chemical_formula_sum 'K1 Al1 In2 P1'
_cell_length_a 5.6880
_cell_length_b 5.6880
_cell_length_c 5.5384
_cell_angle_alpha 90.00
_cell_angle_beta 90.00
_cell_angle_gamma 90.00
_symmetry_space_group_name_H-M 'P 4/m m m'
_symmetry_Int_Tables_number 123
_symmetry_space_group_name_Hall '-P 4 2'
loop_
_atom_site_label
_atom_site_fract_x
_atom_site_fract_y
_atom_site_fract_z
K1 0.0000 0.0000 0.0000
Al1 0.0000 0.0000 0.5000
In1 0.0000 0.5000 0.0000
P1 0.5000 0.5000 0.5000
# Formation energy from the elements = 7.8 eV/f.u.
# Magnetization = 0.000 μB/f.u.

=====

# KAl2InSb, single point on PBEsol structure, DFT meta-GGA SCAN
data_KAl2InSb
_chemical_formula_sum 'K1 Al2 In1 Sb1'
_cell_length_a 5.5351
_cell_length_b 5.5351
_cell_length_c 5.6711
_cell_angle_alpha 90.00
_cell_angle_beta 90.00
_cell_angle_gamma 90.00
_symmetry_space_group_name_H-M 'P 4/m m m'
_symmetry_Int_Tables_number 123
_symmetry_space_group_name_Hall '-P 4 2'
loop_
_atom_site_label
_atom_site_fract_x
_atom_site_fract_y
_atom_site_fract_z
K1 0.0000 0.0000 0.0000
Al1 0.0000 0.5000 0.0000
In1 0.0000 0.0000 0.5000
Sb1 0.5000 0.5000 0.5000
# Magnetization = 0.000 μB/f.u.
# Raw formation energy = 1414 meV/atom

=====

# LaAlIn2, single point on PBEsol structure, DFT meta-GGA SCAN
data_LaAlIn2
_chemical_formula_sum 'La2 Al2 In4'
_cell_length_a 4.3983
_cell_length_b 4.5328
_cell_length_c 10.2981
_cell_angle_alpha 90.00
_cell_angle_beta 90.00
_cell_angle_gamma 90.00
_symmetry_space_group_name_H-M 'I m m 2'
_symmetry_Int_Tables_number 44
_symmetry_space_group_name_Hall 'I 2 -2'
loop_
_atom_site_label
_atom_site_fract_x
_atom_site_fract_y
_atom_site_fract_z
La1 0.0000 0.0000 0.0000
Al1 0.0000 0.5000 0.2596
In1 0.0000 0.0000 0.5697
In2 0.0000 0.5000 0.7693
# Formation energy from the elements = -1.5 eV/f.u.
# Magnetization = 0.000 μB/f.u.

=====

# La3AlIn, single point on PBEsol structure, DFT meta-GGA SCAN
data_La3AlIn
_chemical_formula_sum 'La3 Al1 In1'
_cell_length_a 5.6497
_cell_length_b 5.6497
_cell_length_c 5.6497
_cell_angle_alpha 90.00
_cell_angle_beta 90.00
_cell_angle_gamma 90.00
_symmetry_space_group_name_H-M 'P m -3 m'
_symmetry_Int_Tables_number 221
_symmetry_space_group_name_Hall '-P 4 2 3'
loop_
_atom_site_label
_atom_site_fract_x
_atom_site_fract_y
_atom_site_fract_z
La1 0.0000 0.0000 0.5000
Al1 0.0000 0.0000 0.0000
In1 0.5000 0.5000 0.5000
# Formation energy from the elements = 0.1 eV/f.u.
# Magnetization = 0.000 μB/f.u.